The following is a PBE with a Hubbard U calculation of crystalline Ac2CoAg2O6 at its relaxed geometry, from Alexandria.

Values from the calculation:
uncorrected energy: -0.4321 Ry per atom

Structure (POSCAR):
```
Ac2CoAg2O6
1.0
6.249 0.000 0.000
3.124 5.412 0.000
3.124 1.804 5.041
Ac Co Ag O
2 1 2 6
Direct
0.790 0.790 0.629
0.210 0.210 0.371
0.000 0.000 0.000
0.409 0.409 0.774
0.591 0.591 0.226
0.781 0.781 0.251
0.187 0.781 0.251
0.781 0.187 0.251
0.219 0.813 0.749
0.813 0.219 0.749
0.219 0.219 0.749
```